(1)
DFT (PBE) results for an optimized crystal structure of Ni2OsI. Values from VASP.

For the total magnetization, the calculation gives 0.00 μB per formula unit. The value obtained for the density is 12.026 g/cm3. As for the excess energy over the best structure of this formula in the dataset: 0.014 eV/atom. Its formation energy from raw total energies is 423 kJ/mol of formula units.

Structure (Quantum ESPRESSO input):
```
&SYSTEM
  ibrav = 0, nat = 4, ntyp = 3
/
ATOMIC_SPECIES
Ni 58.69 Ni.upf
Os 190.23 Os.upf
I 126.90 I.upf
ATOMIC_POSITIONS crystal
Ni 0.250 0.250 0.250
Ni 0.750 0.750 0.750
Os 0.500 0.500 0.500
I 0.000 0.000 0.000
CELL_PARAMETERS angstrom
1.880 1.815 3.533
1.604 4.085 -0.219
-2.020 3.271 2.128
```

=====

(2)
DFT (PBE) results for an optimized crystal structure of NiOs3I. Values from VASP.

For the total magnetization, the calculation gives 3.00 μB per formula unit. The value obtained for the density is 11.502 g/cm3. As for the excess energy over the best structure of this formula in the dataset: 0.838 eV/atom. Its formation energy from raw total energies is 1472 kJ/mol of formula units.

Structure (Quantum ESPRESSO input):
```
&SYSTEM
  ibrav = 0, nat = 5, ntyp = 3
/
ATOMIC_SPECIES
I 126.90 I.upf
Ni 58.69 Ni.upf
Os 190.23 Os.upf
ATOMIC_POSITIONS crystal
I 0.000 0.000 0.000
Ni 0.500 0.500 0.500
Os 0.000 0.500 0.000
Os 0.000 0.000 0.500
Os 0.500 0.000 0.000
CELL_PARAMETERS angstrom
4.780 0.000 0.000
0.000 4.780 0.000
0.000 0.000 4.780
```

=====

(3)
DFT (PBE) results for an optimized crystal structure of NiOs3I. Values from VASP.

For the total magnetization, the calculation gives 0.00 μB per formula unit. The value obtained for the density is 13.653 g/cm3. As for the excess energy over the best structure of this formula in the dataset: 0.000 eV/atom. Its formation energy from raw total energies is 1068 kJ/mol of formula units.

Structure (Quantum ESPRESSO input):
```
&SYSTEM
  ibrav = 0, nat = 5, ntyp = 3
/
ATOMIC_SPECIES
Os 190.23 Os.upf
Ni 58.69 Ni.upf
I 126.90 I.upf
ATOMIC_POSITIONS crystal
Os 0.000 0.000 0.500
Ni 0.000 0.000 0.000
I 0.500 0.500 0.500
Os 0.500 0.000 0.000
Os 0.000 0.500 0.000
CELL_PARAMETERS angstrom
4.514 0.000 0.000
0.000 4.514 0.000
0.000 0.000 4.514
```

=====

(4)
DFT (PBE) results for an optimized crystal structure of NiOsI2. Values from VASP.

For the total magnetization, the calculation gives 0.00 μB per formula unit. The value obtained for the density is 8.291 g/cm3. As for the excess energy over the best structure of this formula in the dataset: 0.000 eV/atom. Its formation energy from raw total energies is 351 kJ/mol of formula units.

Structure (Quantum ESPRESSO input):
```
&SYSTEM
  ibrav = 0, nat = 8, ntyp = 3
/
ATOMIC_SPECIES
Ni 58.69 Ni.upf
Os 190.23 Os.upf
I 126.90 I.upf
ATOMIC_POSITIONS crystal
Ni 0.250 0.750 0.500
Os 0.000 0.000 0.000
I 0.613 0.125 0.250
I 0.375 0.387 0.750
Ni 0.500 0.500 0.000
I 0.137 0.625 0.250
Os 0.750 0.250 0.500
I 0.875 0.863 0.750
CELL_PARAMETERS angstrom
-3.791 -1.120 4.452
-4.322 -1.077 -3.951
-2.579 -6.583 0.129
```

=====

(5)
DFT (PBE) results for an optimized crystal structure of Ni2OsI. Values from VASP.

For the total magnetization, the calculation gives 0.00 μB per formula unit. The value obtained for the density is 8.541 g/cm3. As for the excess energy over the best structure of this formula in the dataset: 0.000 eV/atom. Its formation energy from raw total energies is 417 kJ/mol of formula units.

Structure (Quantum ESPRESSO input):
```
&SYSTEM
  ibrav = 0, nat = 8, ntyp = 3
/
ATOMIC_SPECIES
Os 190.23 Os.upf
Ni 58.69 Ni.upf
I 126.90 I.upf
ATOMIC_POSITIONS crystal
Os 0.750 0.250 0.500
Ni 0.663 0.125 0.250
Ni 0.875 0.913 0.750
I 0.250 0.750 0.500
Os 0.000 0.000 0.000
I 0.500 0.500 0.000
Ni 0.087 0.625 0.250
Ni 0.375 0.337 0.750
CELL_PARAMETERS angstrom
5.999 0.000 0.000
0.000 5.999 0.000
3.000 3.000 4.695
```

=====

(6)
DFT (PBE) results for an optimized crystal structure of NiOsI2. Values from VASP.

For the total magnetization, the calculation gives 0.00 μB per formula unit. The value obtained for the density is 10.906 g/cm3. As for the excess energy over the best structure of this formula in the dataset: 0.340 eV/atom. Its formation energy from raw total energies is 482 kJ/mol of formula units.

Structure (Quantum ESPRESSO input):
```
&SYSTEM
  ibrav = 0, nat = 4, ntyp = 3
/
ATOMIC_SPECIES
I 126.90 I.upf
Ni 58.69 Ni.upf
Os 190.23 Os.upf
ATOMIC_POSITIONS crystal
I 0.250 0.250 0.250
Ni 0.000 0.000 0.000
Os 0.500 0.500 0.500
I 0.750 0.750 0.750
CELL_PARAMETERS angstrom
-0.800 -4.471 -1.444
1.581 -3.664 2.605
-3.091 -2.751 2.365
```

=====

(7)
DFT (PBE) results for an optimized crystal structure of NiPOsI2. Values from VASP.

For the total magnetization, the calculation gives 3.03 μB per formula unit. The value obtained for the density is 6.172 g/cm3. Its formation energy from raw total energies is 707 kJ/mol of formula units.

Structure (Quantum ESPRESSO input):
```
&SYSTEM
  ibrav = 0, nat = 5, ntyp = 4
/
ATOMIC_SPECIES
Os 190.23 Os.upf
Ni 58.69 Ni.upf
I 126.90 I.upf
P 30.97 P.upf
ATOMIC_POSITIONS crystal
Os 0.000 0.000 0.500
Ni 0.500 0.500 0.500
I 0.000 0.500 0.000
P 0.000 0.000 0.000
I 0.500 0.000 0.000
CELL_PARAMETERS angstrom
5.695 0.000 0.000
0.000 5.695 0.000
0.000 0.000 4.427
```

=====

(8)
DFT (PBE) results for an optimized crystal structure of Pr8Ni3OsI4. Values from VASP.

For the total magnetization, the calculation gives 0.00 μB per formula unit. The value obtained for the density is 6.728 g/cm3. Its formation energy from raw total energies is -1009 kJ/mol of formula units.

Structure (Quantum ESPRESSO input):
```
&SYSTEM
  ibrav = 0, nat = 16, ntyp = 4
/
ATOMIC_SPECIES
I 126.90 I.upf
Pr 140.91 Pr.upf
Ni 58.69 Ni.upf
Os 190.23 Os.upf
ATOMIC_POSITIONS crystal
I 0.500 0.000 0.500
Pr 0.228 0.686 0.958
Ni 0.500 0.500 0.000
Pr 0.227 0.686 0.455
Pr 0.727 0.681 0.454
Pr 0.772 0.314 0.042
Ni 0.500 0.500 0.500
I 0.000 0.000 0.000
I 0.000 0.000 0.500
I 0.500 0.000 0.000
Pr 0.730 0.686 0.958
Pr 0.773 0.314 0.545
Os 0.000 0.500 0.000
Ni 0.000 0.500 0.500
Pr 0.270 0.314 0.042
Pr 0.273 0.319 0.546
CELL_PARAMETERS angstrom
8.348 0.000 0.000
0.000 9.464 0.778
-4.174 -4.167 5.909
```